# 1
# TmMgCo2H8, optimized geometry, DFT PBE-GGA
# space-group type = R-3
# spin magnetization = 0.0000 μB/atom
# energy = -4.112 eV per atom
# crystal system = trigonal
# D(E_F) = 0.30 states/eV/atom
data_TmMgCo2H8
_symmetry_space_group_name_H-M 'P 1'
_symmetry_Int_Tables_number 1
_symmetry_space_group_name_Hall 'P 1'
_cell_length_a 5.719
_cell_length_b 5.719
_cell_length_c 5.719
_cell_angle_alpha 46.94
_cell_angle_beta 46.94
_cell_angle_gamma 46.94
loop_
_atom_site_label
_atom_site_fract_x
_atom_site_fract_y
_atom_site_fract_z
Tm1 0.000 0.000 0.000
Mg1 0.500 0.500 0.500
Co1 0.198 0.198 0.198
Co2 0.802 0.802 0.802
H1 0.085 0.866 0.400
H2 0.134 0.600 0.915
H3 0.306 0.306 0.306
H4 0.400 0.085 0.866
H5 0.600 0.915 0.134
H6 0.694 0.694 0.694
H7 0.866 0.400 0.085
H8 0.915 0.134 0.600

# 2
# DyHoGaCo, optimized geometry, DFT PBE-GGA
# space-group type = Amm2
# energy relative to the elements = -0.39 eV/atom
# spin magnetization = 0.0000 μB/atom
# energy = -5.220 eV per atom
# crystal system = orthorhombic
# D(E_F) = 0.79 states/eV/atom
data_DyHoGaCo
_symmetry_space_group_name_H-M 'P 1'
_symmetry_Int_Tables_number 1
_symmetry_space_group_name_Hall 'P 1'
_cell_length_a 4.240
_cell_length_b 3.857
_cell_length_c 10.543
_cell_angle_alpha 90.00
_cell_angle_beta 90.00
_cell_angle_gamma 90.00
loop_
_atom_site_label
_atom_site_fract_x
_atom_site_fract_y
_atom_site_fract_z
Dy1 0.000 0.000 0.000
Dy2 0.000 0.500 0.500
Ho1 0.500 0.000 0.717
Ho2 0.500 0.500 0.217
Ga1 0.500 0.000 0.424
Ga2 0.500 0.500 0.924
Co1 0.000 0.000 0.295
Co2 0.000 0.500 0.795

# 3
# Tb2Pm3Pb3, optimized geometry, DFT PBE-GGA
# space-group type = P6_3/mcm
# energy relative to the elements = -0.55 eV/atom
# spin magnetization = 0.0000 μB/atom
# energy = -4.883 eV per atom
# crystal system = hexagonal
# D(E_F) = 0.89 states/eV/atom
data_Tb2Pm3Pb3
_symmetry_space_group_name_H-M 'P 1'
_symmetry_Int_Tables_number 1
_symmetry_space_group_name_Hall 'P 1'
_cell_length_a 9.242
_cell_length_b 9.242
_cell_length_c 6.753
_cell_angle_alpha 90.00
_cell_angle_beta 90.00
_cell_angle_gamma 120.00
loop_
_atom_site_label
_atom_site_fract_x
_atom_site_fract_y
_atom_site_fract_z
Tb1 0.333 0.667 0.000
Tb2 0.333 0.667 0.500
Tb3 0.667 0.333 0.000
Tb4 0.667 0.333 0.500
Pm1 0.000 0.239 0.250
Pm2 0.000 0.761 0.750
Pm3 0.239 0.000 0.250
Pm4 0.239 0.239 0.750
Pm5 0.761 0.000 0.750
Pm6 0.761 0.761 0.250
Pb1 0.000 0.397 0.750
Pb2 0.000 0.603 0.250
Pb3 0.397 0.000 0.750
Pb4 0.397 0.397 0.250
Pb5 0.603 0.000 0.250
Pb6 0.603 0.603 0.750

# 4
# Sm2ZrU2Ru5, optimized geometry, DFT PBE-GGA
# space-group type = P4/mbm
# energy relative to the elements = -0.25 eV/atom
# spin magnetization = 0.0000 μB/atom
# energy = -8.943 eV per atom
# crystal system = tetragonal
# D(E_F) = 0.80 states/eV/atom
data_Sm2ZrU2Ru5
_symmetry_space_group_name_H-M 'P 1'
_symmetry_Int_Tables_number 1
_symmetry_space_group_name_Hall 'P 1'
_cell_length_a 10.624
_cell_length_b 10.624
_cell_length_c 3.520
_cell_angle_alpha 90.00
_cell_angle_beta 90.00
_cell_angle_gamma 90.00
loop_
_atom_site_label
_atom_site_fract_x
_atom_site_fract_y
_atom_site_fract_z
Sm1 0.174 0.326 0.000
Sm2 0.326 0.826 0.000
Sm3 0.674 0.174 0.000
Sm4 0.826 0.674 0.000
Zr1 0.000 0.000 0.000
Zr2 0.500 0.500 0.000
U1 0.139 0.639 0.000
U2 0.361 0.139 0.000
U3 0.639 0.861 0.000
U4 0.861 0.361 0.000
Ru1 0.000 0.500 0.500
Ru2 0.050 0.795 0.500
Ru3 0.205 0.050 0.500
Ru4 0.295 0.550 0.500
Ru5 0.450 0.295 0.500
Ru6 0.500 0.000 0.500
Ru7 0.550 0.705 0.500
Ru8 0.705 0.450 0.500
Ru9 0.795 0.950 0.500
Ru10 0.950 0.205 0.500

# 5
# LiZnCl2, optimized geometry, DFT PBE-GGA
# space-group type = I-42d
# spin magnetization = 0.0000 μB/atom
# energy = -2.691 eV per atom
# crystal system = tetragonal
# formation energy without anion corrections = -0.97 eV/atom
# D(E_F) = 0.32 states/eV/atom
data_LiZnCl2
_symmetry_space_group_name_H-M 'P 1'
_symmetry_Int_Tables_number 1
_symmetry_space_group_name_Hall 'P 1'
_cell_length_a 5.866
_cell_length_b 5.866
_cell_length_c 11.736
_cell_angle_alpha 90.00
_cell_angle_beta 90.00
_cell_angle_gamma 90.00
loop_
_atom_site_label
_atom_site_fract_x
_atom_site_fract_y
_atom_site_fract_z
Li1 0.000 0.000 0.000
Li2 0.000 0.500 0.250
Li3 0.500 0.000 0.750
Li4 0.500 0.500 0.500
Zn1 0.000 0.000 0.500
Zn2 0.000 0.500 0.750
Zn3 0.500 0.000 0.250
Zn4 0.500 0.500 0.000
Cl1 0.217 0.250 0.125
Cl2 0.250 0.717 0.375
Cl3 0.250 0.783 0.875
Cl4 0.283 0.250 0.625
Cl5 0.717 0.750 0.625
Cl6 0.750 0.217 0.875
Cl7 0.750 0.283 0.375
Cl8 0.783 0.750 0.125